Arrangement a

This record from Alexandria describes crystalline TbNdInPb at its relaxed geometry. The functional is GGA-PBE.

Cell: 5.474 5.474 5.474 Å, 60.00 60.00 60.00°
Fractional coordinates of all 4 atoms:
In  0.250  0.250  0.250
Tb  0.000  0.000  0.000
Nd  0.500  0.500  0.500
Pb  0.750  0.750  0.750

## Properties
magnetization = 0.00 μB/cell
space-group type = F-43m
crystal system = cubic

Arrangement b

This record from Alexandria describes crystalline TbNdInPb at its relaxed geometry. The functional is GGA-PBE.

Cell: 5.046 5.046 5.740 Å, 116.08 116.08 90.00°
Fractional coordinates of all 4 atoms:
Pb  0.500  0.500  0.000
In  0.000  0.000  0.000
Nd  0.750  0.250  0.500
Tb  0.250  0.750  0.500

## Properties
magnetization = 0.00 μB/cell
space-group type = I-4m2
crystal system = tetragonal

According to the calculations, the structures order from most to least stable as arrangement b, arrangement a.